VASP calculation (PBE) on Tb2TmCu3 after structural relaxation.

Values from the calculation:
DFT total energy	-4.60	eV/atom
space group	No. 123
calculated formation energy	-0.2591	eV/atom

a = 3.455 Å, b = 3.455 Å, c = 10.414 Å
α = 90.00°, β = 90.00°, γ = 90.00°
Positions (direct):
Tb 0.000 0.000 0.169
Tb 0.000 0.000 0.831
Tm 0.000 0.000 0.500
Cu 0.500 0.500 0.000
Cu 0.500 0.500 0.340
Cu 0.500 0.500 0.660

=====

VASP calculation (PBE) on La2RePt after structural relaxation.

Values from the calculation:
DFT total energy	-6.55	eV/atom
space group	No. 122
calculated formation energy	0.5352	eV/atom
E above lowest polymorph	783	meV/atom

a = 8.492 Å, b = 8.492 Å, c = 8.492 Å
α = 138.78°, β = 138.78°, γ = 59.70°
Positions (direct):
La 0.101 0.625 0.976
La 0.375 0.351 0.476
La 0.649 0.125 0.024
La 0.875 0.899 0.524
Re 0.000 0.000 0.000
Re 0.750 0.250 0.500
Pt 0.250 0.750 0.500
Pt 0.500 0.500 0.000

=====

VASP calculation (PBE) on CuReCl after structural relaxation.

Values from the calculation:
DFT total energy	-4.79	eV/atom
space group	No. 216
E_form (uncorrected)	1.338	eV/atom
E above lowest polymorph	797	meV/atom

a = 4.143 Å, b = 4.143 Å, c = 4.143 Å
α = 60.00°, β = 60.00°, γ = 60.00°
Positions (direct):
Cu 0.000 0.000 0.000
Re 0.250 0.250 0.250
Cl 0.500 0.500 0.500